1.
Dy2NiRu after structural relaxation. Source: Alexandria via LeMat-Bulk, functional GGA-PBE.

Unit cell a=3.3972 b=3.3972 c=6.7640 alpha=90.00 beta=90.00 gamma=90.00
Closest atoms and distances in Å follow each position.
Atoms (fractional coordinates):
1 Ru 0.5000 0.5000 0.0000  8 Dy 2.93
2 Ni 0.5000 0.5000 0.5000  8 Dy 2.94
3 Dy 0.0000 0.0000 0.7514  4 Ru 2.93, 4 Ni 2.94
4 Dy 0.0000 0.0000 0.2486  4 Ru 2.93, 4 Ni 2.94

- total moment (μB/atom) = 0.00

2.
Dy6Ni5Ru after structural relaxation. Source: Alexandria via LeMat-Bulk, functional GGA-PBE.

Unit cell a=4.7963 b=6.7226 c=7.5840 alpha=90.00 beta=71.57 gamma=90.00
Closest atoms and distances in Å follow each position.
Atoms (fractional coordinates):
1 Ni 0.6674 0.5000 0.6651  8 Dy 2.93-2.94
2 Ni 0.3360 0.0000 0.3280  8 Dy 2.90-2.96
3 Ni 0.0000 0.5000 0.0000  8 Dy 2.93
4 Ni 0.6640 0.0000 0.6720  8 Dy 2.90-2.96
5 Ni 0.3326 0.5000 0.3349  8 Dy 2.93-2.94
6 Ru 0.0000 0.0000 0.0000  8 Dy 2.92-2.93
7 Dy 0.8337 0.7511 0.3325  1 Ru 2.92, 7 Ni 2.92-2.96
8 Dy 0.8338 0.2489 0.3325  1 Ru 2.92, 7 Ni 2.92-2.96
9 Dy 0.5000 0.2501 0.0000  6 Ni 2.90-2.94, 2 Ru 2.93
10 Dy 0.5000 0.7499 0.0000  6 Ni 2.90-2.94, 2 Ru 2.93
11 Dy 0.1662 0.7511 0.6675  1 Ru 2.92, 7 Ni 2.92-2.96
12 Dy 0.1663 0.2489 0.6675  1 Ru 2.92, 7 Ni 2.92-2.96

- total moment (μB/atom) = 0.00

3.
Dy12Ni6Ru after structural relaxation. Source: Alexandria via LeMat-Bulk, functional GGA-PBE.

Unit cell a=7.9776 b=7.9776 c=7.9776 alpha=98.78 beta=98.78 gamma=98.78
Closest atoms and distances in Å follow each position.
Atoms (fractional coordinates):
1 Dy 0.8187 0.5890 0.4232  3 Ni 2.66-2.84
2 Dy 0.4232 0.8187 0.5890  3 Ni 2.66-2.84
3 Dy 0.5890 0.4232 0.8187  3 Ni 2.66-2.84
4 Dy 0.1813 0.4110 0.5768  3 Ni 2.66-2.84
5 Dy 0.5768 0.1813 0.4110  3 Ni 2.66-2.84
6 Dy 0.4110 0.5768 0.1813  3 Ni 2.66-2.84
7 Dy 0.0917 0.9524 0.3228  1 Ru 2.67, 2 Ni 2.75-2.77
8 Dy 0.0476 0.6772 0.9083  1 Ru 2.67, 2 Ni 2.75-2.77
9 Dy 0.6772 0.9083 0.0476  1 Ru 2.67, 2 Ni 2.75-2.77
10 Dy 0.9083 0.0476 0.6772  1 Ru 2.67, 2 Ni 2.75-2.77
11 Dy 0.9524 0.3228 0.0917  1 Ru 2.67, 2 Ni 2.75-2.77
12 Dy 0.3228 0.0917 0.9524  1 Ru 2.67, 2 Ni 2.75-2.77
13 Ni 0.6817 0.8671 0.3843  5 Dy 2.66-2.84
14 Ni 0.6157 0.3183 0.1329  5 Dy 2.66-2.84
15 Ni 0.1329 0.6157 0.3183  5 Dy 2.66-2.84
16 Ni 0.3183 0.1329 0.6157  5 Dy 2.66-2.84
17 Ni 0.3843 0.6817 0.8671  5 Dy 2.66-2.84
18 Ni 0.8671 0.3843 0.6817  5 Dy 2.66-2.84
19 Ru 0.0000 0.0000 0.0000  6 Dy 2.67

- total moment (μB/atom) = 0.00

4.
Dy2NiRu after structural relaxation. Source: Alexandria via LeMat-Bulk, functional GGA-PBE.

Unit cell a=4.7879 b=4.8002 c=4.7879 alpha=60.06 beta=90.01 gamma=60.06
Closest atoms and distances in Å follow each position.
Atoms (fractional coordinates):
1 Ru 0.2500 0.5000 0.7500  8 Dy 2.94
2 Ni 0.7500 0.5000 0.2500  8 Dy 2.94
3 Dy 0.0000 0.0000 0.0000  4 Ni 2.94, 4 Ru 2.94
4 Dy 0.5000 0.0000 0.5000  4 Ni 2.94, 4 Ru 2.94

- total moment (μB/atom) = 0.00

5.
Dy2NiRu after structural relaxation. Source: Alexandria via LeMat-Bulk, functional GGA-PBE.

Unit cell a=3.3140 b=3.3140 c=9.3403 alpha=79.78 beta=79.78 gamma=60.00
Closest atoms and distances in Å follow each position.
Atoms (fractional coordinates):
1 Ru 0.5000 0.5000 0.5000  6 Dy 2.80
2 Ni 0.0000 0.0000 0.0000  2 Dy 2.53
3 Dy 0.0923 0.0923 0.7230  1 Ni 2.53, 3 Ru 2.80
4 Dy 0.9077 0.9077 0.2770  1 Ni 2.53, 3 Ru 2.80

- total moment (μB/atom) = 0.00

6.
DyNi4Ru after structural relaxation. Source: Alexandria via LeMat-Bulk, functional GGA-PBE.

Unit cell a=4.8794 b=4.8794 c=4.8794 alpha=60.00 beta=60.00 gamma=60.00
Closest atoms and distances in Å follow each position.
Atoms (fractional coordinates):
1 Ru 0.2500 0.2500 0.2500  12 Ni 2.86, 4 Dy 2.99
2 Ni 0.6242 0.6242 0.1274  6 Ni 2.42-2.46
3 Ni 0.6242 0.1274 0.6242  6 Ni 2.42-2.46
4 Ni 0.6242 0.6242 0.6242  6 Ni 2.42-2.46
5 Ni 0.1274 0.6242 0.6242  6 Ni 2.42-2.46
6 Dy 0.0000 0.0000 0.0000  12 Ni 2.86, 4 Ru 2.99

- total moment (μB/atom) = 0.52

Q: Which energy of formation from the pure elements values were calculated for the entries above? A: -0.411, -0.393, -0.205, -0.392, 0.305, -0.126, in eV/atom.